A relaxed RbTlH2 crystal. Source: Alexandria via LeMat-Bulk, functional GGA-PBE.

Its space group is P3_121 (152). The value obtained for the density of states at the Fermi level is 4.5 states/eV/cell. The energy above the most stable polymorph in this dataset is 0.000 eV per atom. For the total magnetization, the calculation gives 0.00 Bohr magnetons per cell.

Unit cell a=4.2186 b=4.2186 c=19.2467 alpha=90.00 beta=90.00 gamma=120.00
Element x y z (fractional)
Rb  0.0000  0.5888  0.1667
Rb  0.4112  0.4112  0.5000
Rb  0.5888  0.0000  0.8333
Tl  0.0000  0.9960  0.6667
Tl  0.0040  0.0040  0.0000
Tl  0.9960  0.0000  0.3333
H  0.0633  0.7259  0.5814
H  0.2741  0.3373  0.9147
H  0.3373  0.2741  0.0853
H  0.6627  0.9367  0.2480
H  0.7259  0.0633  0.4186
H  0.9367  0.6627  0.7520


A relaxed RbNa2GaSn crystal. Source: Alexandria via LeMat-Bulk, functional GGA-PBE.

Its space group is P4/mmm (123). The value obtained for the density of states at the Fermi level is 2.1 states/eV/cell. The energy above the most stable polymorph in this dataset is 0.000 eV per atom. The calculation puts the formation energy at -1 kJ per mole of atoms. For the total magnetization, the calculation gives 0.00 Bohr magnetons per cell.

Unit cell a=5.7884 b=5.7884 c=5.5417 alpha=90.00 beta=90.00 gamma=90.00
Element x y z (fractional)
Rb  0.0000  0.0000  0.0000
Na  0.0000  0.5000  0.5000
Na  0.5000  0.0000  0.5000
Ga  0.5000  0.5000  0.5000
Sn  0.5000  0.5000  0.0000


A relaxed CaGa2Ru2 crystal. Source: Alexandria via LeMat-Bulk, functional GGA-PBE.

Its space group is I4/mmm (139). The value obtained for the density of states at the Fermi level is 5.2 states/eV/cell. The calculation puts the formation energy at -23 kJ per mole of atoms. For the total magnetization, the calculation gives 0.57 Bohr magnetons per cell.

Unit cell a=6.1449 b=6.1449 c=6.1449 alpha=140.77 beta=140.77 gamma=56.69
Element x y z (fractional)
Ca  0.0000  0.0000  0.0000
Ga  0.3805  0.3805  0.0000
Ga  0.6195  0.6195  0.0000
Ru  0.2500  0.7500  0.5000
Ru  0.7500  0.2500  0.5000


A relaxed ZrTiBr2 crystal. Source: Alexandria via LeMat-Bulk, functional GGA-PBE.

Its space group is I-42d (122). The value obtained for the density of states at the Fermi level is 10.4 states/eV/cell. The energy above the most stable polymorph in this dataset is 0.463 eV per atom. Its uncorrected formation energy is 0.06 eV/atom. For the total magnetization, the calculation gives 2.68 Bohr magnetons per cell.

Unit cell a=6.1378 b=6.1378 c=6.1378 alpha=106.63 beta=106.63 gamma=115.32
Element x y z (fractional)
Zr  0.0000  0.0000  0.0000
Zr  0.7500  0.2500  0.5000
Ti  0.2500  0.7500  0.5000
Ti  0.5000  0.5000  0.0000
Br  0.1478  0.1250  0.5228
Br  0.3750  0.8522  0.9772
Br  0.6022  0.6250  0.4772
Br  0.8750  0.3978  0.0228


A relaxed NaCe5Tl8 crystal. Source: Alexandria via LeMat-Bulk, functional GGA-PBE.

Its space group is I-4 (82). The value obtained for the density of states at the Fermi level is 40.4 states/eV/cell. The calculation puts the formation energy at -11 kJ per mole of atoms. For the total magnetization, the calculation gives 6.03 Bohr magnetons per cell.

Unit cell a=8.2213 b=8.2213 c=8.2213 alpha=109.11 beta=109.11 gamma=110.19
Element x y z (fractional)
Na  0.0000  0.0000  0.0000
Ce  0.2690  0.6252  0.1176
Ce  0.3748  0.4924  0.6438
Ce  0.5076  0.1514  0.8824
Ce  0.7500  0.2500  0.5000
Ce  0.8486  0.7310  0.3562
Tl  0.1019  0.1819  0.7423
Tl  0.1260  0.7217  0.7444
Tl  0.2783  0.0227  0.4043
Tl  0.4396  0.3596  0.2577
Tl  0.6184  0.8740  0.5957
Tl  0.6404  0.8981  0.0800
Tl  0.8181  0.5604  0.9200
Tl  0.9773  0.3816  0.2556